A relaxed FeCuO2 crystal. Source: Alexandria, functional PBE with a Hubbard U.

It has space group R3m (No. 160, hexagonal axes), with a = 3.3134 Å, b = 3.3134 Å, c = 15.3270 Å, α = 90.00°, β = 90.00° and γ = 120.00°. The inequivalent atoms are Fe at (0.0000, 0.0000, 0.0000), Cu at (0.0000, 0.0000, 0.4876), O at (0.0000, 0.0000, 0.1231) and O at (0.0000, 0.0000, 0.6289).

The calculation puts the total magnetization at 4.82 μB/f.u. The value obtained for the density of states at the Fermi level is 1.644 states/eV/f.u. The total energy comes out at -5.785 eV per atom.